# ZrSbP

A relaxed ZrSbP crystal (PBE-GGA, Alexandria via LeMat-Bulk).

```
ZrSbP
1.0
-2.766 2.735 2.228
-1.046 -4.331 -0.491
1.794 -0.796 3.205
Sb Zr P
1 1 1
direct
0.667 0.333 0.000
0.333 0.667 0.500
0.000 0.000 0.500
```

Its space group is P-6m2 (187). The formation energy from raw total energies comes out at -0.42 eV per atom. The density of states at the Fermi level comes out at 0.24 states/eV/atom. The energy relative to the lowest polymorph listed for this composition comes out at 289 meV per atom.